1.
This record from the Alexandria database describes a PBEsol-optimized structure of TaCd2Pt. The functional is SCAN.

Unit cell a=3.360 b=4.767 c=9.000 alpha=90.00 beta=90.00 gamma=90.00
Space group Imm2 (No. 44)
One atom of each set of equivalent atoms:
Ta1 0.000 0.000 0.000 x2
Cd1 0.000 0.000 0.528 x2
Cd2 0.000 0.500 0.768 x2
Pt1 0.000 0.500 0.279 x2

* energy relative to the lowest polymorph listed for this composition: 159.3 meV per atom
* calculated total energy: -394.75 eV per cell
* E_form: 0.06 eV/atom

2.
This record from the Alexandria database describes a PBEsol-optimized structure of TaCdPt2. The functional is SCAN.

Unit cell a=2.858 b=2.858 c=8.011 alpha=90.00 beta=90.00 gamma=90.00
Space group P4/mmm (No. 123)
One atom of each set of equivalent atoms:
Ta1 0.000 0.000 0.000 x1
Cd1 0.000 0.000 0.500 x1
Pt1 0.500 0.500 0.236 x2

* calculated total energy: -240.00 eV per cell
* E_form: -0.65 eV/atom

Among the records above, which one has the lowest E_form? TaCdPt2

Which of these has the lowest calculated total energy? TaCd2Pt